Density functional theory data (PBE) for a geometry-optimized Sb2RhCl structure.

a b c (Å): 6.2790 6.2790 7.7602
angles (deg): 66.14 66.14 90.00
Atoms (fractional coordinates):
Sb (0.7005, 0.1250, 0.2500)
Sb (0.0495, 0.6250, 0.2500)
Sb (0.3750, 0.2995, 0.7500)
Sb (0.8750, 0.9505, 0.7500)
Rh (0.0000, 0.0000, 0.0000)
Rh (0.7500, 0.2500, 0.5000)
Cl (0.5000, 0.5000, 0.0000)
Cl (0.2500, 0.7500, 0.5000)

Results
- SG = I-42d, No. 122
- DOS(E_F) (states/eV/f.u.) = 0.68
- total energy (eV for the cell shown) = -35.54